! HgMoRu2 SCAN single point on PBEsol structure; values from VASP
&SYSTEM
  ibrav = 0, nat = 8, ntyp = 3
/
ATOMIC_SPECIES
Hg 200.59 Hg.upf
Mo 95.94 Mo.upf
Ru 101.07 Ru.upf
ATOMIC_POSITIONS angstrom
Hg 0.0000 0.0000 0.0000
Hg 4.6649 1.4024 0.0000
Mo 1.5673 0.0000 3.2829
Mo 6.2322 1.4024 3.2829
Ru 2.1797 1.4024 1.1956
Ru 4.0940 0.0000 2.3298
Ru 6.8446 0.0000 1.1956
Ru 8.7589 1.4024 2.3298
CELL_PARAMETERS angstrom
9.3298 0.0000 0.0000
0.0000 2.8047 0.0000
-0.9194 0.0000 4.6748
! Mass density, g cm⁻³: 13.5
! Total moment, μB per cell: 0.0
! Space-group type: Cm (8)
! Formation enthalpy at 0 K, eV per atom: 0.434



! Hg2MoRu SCAN single point on PBEsol structure; values from VASP
&SYSTEM
  ibrav = 0, nat = 4, ntyp = 3
/
ATOMIC_SPECIES
Hg 200.59 Hg.upf
Mo 95.94 Mo.upf
Ru 101.07 Ru.upf
ATOMIC_POSITIONS angstrom
Hg 0.0000 1.9728 0.0000
Hg 1.9728 0.0000 0.0000
Mo 0.0000 0.0000 2.1719
Ru 1.9728 1.9728 2.1719
CELL_PARAMETERS angstrom
3.9457 0.0000 0.0000
0.0000 3.9457 0.0000
0.0000 0.0000 4.3439
! Mass density, g cm⁻³: 14.7
! Total moment, μB per cell: 0.0
! Space-group type: P4/mmm (123)
! Formation enthalpy at 0 K, eV per atom: 0.756